Computed, not measured: crystalline Cs2Li2CaCl6 at its relaxed geometry at the GGA-PBE level of DFT.

Unit cell a=7.562 b=7.525 c=8.099 alpha=113.22 beta=90.00 gamma=120.16
Element x y z (fractional)
Cs  0.288  0.575  0.822
Cs  0.712  0.425  0.178
Li  0.929  0.859  0.734
Li  0.071  0.141  0.266
Ca  0.500  0.000  0.500
Cl  0.264  0.528  0.363
Cl  0.778  0.064  0.771
Cl  0.222  0.936  0.229
Cl  0.285  0.064  0.771
Cl  0.715  0.936  0.229
Cl  0.736  0.472  0.637

Calculated values
As for the total DFT energy (no corrections): -3.72 eV per atom. The calculation puts the density of states at the Fermi level at 0.000 states/eV/cell.